[1]
# LaPt2Cl (PBE, optimized geometry)
data_LaPt2Cl
_cell_length_a 4.655
_cell_length_b 5.394
_cell_length_c 7.212
_cell_angle_alpha 90.00
_cell_angle_beta 90.00
_cell_angle_gamma 90.00
_symmetry_space_group_name_H-M 'I m m 2'
_symmetry_Int_Tables_number 44
loop_
_symmetry_equiv_pos_as_xyz
'x,y,z'
'-x,-y,z'
'-x,y,z'
'x,-y,z'
'x+1/2,y+1/2,z+1/2'
'-x+1/2,-y+1/2,z+1/2'
'-x+1/2,y+1/2,z+1/2'
'x+1/2,-y+1/2,z+1/2'
loop_
_atom_site_label
_atom_site_type_symbol
_atom_site_fract_x
_atom_site_fract_y
_atom_site_fract_z
_atom_site_occupancy
La1 La 0.000 0.000 0.000 1
Pt1 Pt 0.000 0.000 0.557 1
Pt2 Pt 0.000 0.500 0.201 1
Cl1 Cl 0.000 0.500 0.782 1
# ΔE to the lowest computed polymorph, kJ per mole of atoms: 29.40

[2]
# LaPtCl2 (PBE, optimized geometry)
data_LaPtCl2
_cell_length_a 4.418
_cell_length_b 4.563
_cell_length_c 4.766
_cell_angle_alpha 90.00
_cell_angle_beta 106.90
_cell_angle_gamma 90.00
_symmetry_space_group_name_H-M 'P 1 2/m 1'
_symmetry_Int_Tables_number 10
loop_
_symmetry_equiv_pos_as_xyz
'x,y,z'
'-x,-y,-z'
'-x,y,-z'
'x,-y,z'
loop_
_atom_site_label
_atom_site_type_symbol
_atom_site_fract_x
_atom_site_fract_y
_atom_site_fract_z
_atom_site_occupancy
La1 La 0.000 0.000 0.000 1
Pt1 Pt 0.500 0.500 0.000 1
Cl1 Cl 0.000 0.500 0.500 1
Cl2 Cl 0.500 0.000 0.500 1
# ΔE to the lowest computed polymorph, kJ per mole of atoms: 14.21

[3]
# LaPt2Cl (PBE, optimized geometry)
data_LaPt2Cl
_cell_length_a 3.952
_cell_length_b 3.952
_cell_length_c 5.327
_cell_angle_alpha 90.00
_cell_angle_beta 90.00
_cell_angle_gamma 90.00
_symmetry_space_group_name_H-M 'P 4/m m m'
_symmetry_Int_Tables_number 123
_symmetry_space_group_name_Hall '-P 4 2'
loop_
_atom_site_label
_atom_site_type_symbol
_atom_site_fract_x
_atom_site_fract_y
_atom_site_fract_z
_atom_site_occupancy
La1 La 0.000 0.000 0.000 1
Pt1 Pt 0.000 0.500 0.500 1
Cl1 Cl 0.500 0.500 0.000 1
# ΔE to the lowest computed polymorph, kJ per mole of atoms: 19.00